A relaxed structure of GaGePt2I. Source: Alexandria, functional PBEsol.

The value obtained for the raw formation energy is 508.8 meV/atom. The value obtained for the density of states at the Fermi level is 4.34 states/eV/cell. The symmetry is P4/mmm.

```
GaGePt2I
1.0
4.681 0.000 0.000
0.000 4.681 0.000
0.000 0.000 5.141
Pt Ga Ge I
2 1 1 1
Cartesian
2.341 0.000 0.000
0.000 2.341 0.000
0.000 0.000 2.570
0.000 0.000 0.000
2.341 2.341 2.570
```